[1]
First-principles (GGA-PBE) data for an optimized crystal structure of PrZn3Cu3, as listed in the Alexandria database.

Results
For the energy, the calculation gives -3.1467 eV per atom. The calculation puts the total moment at 0.000 μB/atom. The symmetry is R-3m, No. 166.

```
PrZn3Cu3
1.0
-5.227 2.499 -3.997
-2.569 -3.893 -5.272
-6.262 -2.668 0.322
Pr Zn Cu
2 6 6
direct
0.366 0.366 0.903
0.634 0.634 0.097
0.682 0.682 0.567
0.682 0.068 0.567
0.068 0.682 0.567
0.932 0.318 0.433
0.318 0.932 0.433
0.318 0.318 0.433
0.060 0.694 0.187
0.060 0.060 0.187
0.694 0.060 0.187
0.306 0.940 0.813
0.940 0.940 0.813
0.940 0.306 0.813
```

[2]
First-principles (GGA-PBE) data for an optimized crystal structure of PrZn6Cu12, as listed in the Alexandria database.

Results
For the energy, the calculation gives -3.2103 eV per atom. The calculation puts the total moment at 0.000 μB/atom. The symmetry is R-3m, No. 166.

```
PrZn6Cu12
1.0
6.780 0.079 0.111
-1.604 6.588 0.111
-1.604 -2.066 6.256
Pr Zn Cu
1 6 12
direct
0.000 0.000 0.000
0.697 0.284 0.284
0.284 0.284 0.697
0.284 0.697 0.284
0.716 0.716 0.303
0.303 0.716 0.716
0.716 0.303 0.716
0.890 0.110 0.500
0.884 0.622 0.622
0.622 0.622 0.884
0.378 0.116 0.378
0.378 0.378 0.116
0.116 0.378 0.378
0.110 0.500 0.890
0.500 0.890 0.110
0.110 0.890 0.500
0.890 0.500 0.110
0.500 0.110 0.890
0.622 0.884 0.622
```

[3]
First-principles (GGA-PBE) data for an optimized crystal structure of Pr3ZnCu3, as listed in the Alexandria database.

Results
For the energy, the calculation gives -4.1832 eV per atom. The calculation puts the total moment at 0.000 μB/atom. The symmetry is Cmcm, No. 63.

```
Pr3ZnCu3
1.0
-3.806 1.917 -0.651
1.297 -3.685 -4.154
-6.278 -10.090 6.991
Pr Zn Cu
6 2 6
direct
0.213 0.426 0.897
0.787 0.574 0.103
0.213 0.426 0.603
0.787 0.574 0.397
0.497 0.995 0.750
0.503 0.005 0.250
0.500 0.000 0.000
0.500 0.000 0.500
0.927 0.854 0.910
0.073 0.146 0.090
0.927 0.854 0.590
0.073 0.146 0.410
0.796 0.591 0.750
0.204 0.409 0.250
```